Record 1
PBE InH4Br, optimized geometry; total magnetization = 0.0 Bohr magnetons per cell; space group = No. 2
1.0
4.232 0.000 0.000
-0.116 6.299 0.000
-0.736 -1.130 7.965
In H Br
2 8 2
Cartesian
0.964 1.977 0.175 In
2.417 3.193 7.790 In
-0.281 2.791 4.261 H
0.189 3.615 1.138 H
1.312 0.656 4.516 H
1.433 4.220 3.176 H
1.948 0.949 4.789 H
2.069 4.513 3.449 H
3.192 1.554 6.828 H
3.661 2.379 3.704 H
0.258 4.596 6.443 Br
3.122 0.573 1.522 Br

***

Record 2
PBE TiNbNi, optimized geometry; relative energy among the computed polymorphs = 0.0104 eV per atom; total magnetization = 0.0 Bohr magnetons per cell; space group = No. 70
1.0
0.000 4.236 9.099
2.399 0.000 9.099
2.399 4.236 0.000
Ti Nb Ni
4 4 4
Cartesian
0.600 1.059 0.861 Ti
0.600 1.059 3.689 Ti
4.198 7.414 14.510 Ti
4.198 7.414 17.338 Ti
1.799 1.722 6.825 Nb
2.998 3.840 11.374 Nb
1.799 4.633 6.825 Nb
2.998 6.751 11.374 Nb
1.799 3.177 4.566 Ni
1.799 3.177 9.083 Ni
2.998 5.296 9.115 Ni
2.998 5.296 13.633 Ni

***

Record 3
PBE Ac8GaP3I4, optimized geometry; ΔE_f (raw) = -1835.5 kJ/mol of formula units; total magnetization = 0.0 Bohr magnetons per cell; space group = No. 166
1.0
4.494 2.594 8.202
-4.494 2.594 8.202
0.000 -5.189 8.202
Ac Ga P I
8 1 3 4
Cartesian
-2.290 -1.322 13.915 Ac
0.000 0.000 5.681 Ac
0.000 -2.644 10.691 Ac
-2.290 1.322 10.691 Ac
2.290 -1.322 13.915 Ac
0.000 2.644 13.915 Ac
0.000 0.000 18.925 Ac
2.290 1.322 10.691 Ac
0.000 0.000 12.303 Ga
-4.494 0.000 12.303 P
-2.247 1.297 4.101 P
2.247 1.297 4.101 P
0.000 0.000 0.000 I
-2.247 -1.297 8.202 I
-2.247 1.297 16.404 I
0.000 2.594 8.202 I

***

Number 1: E_tot -3.057 eV/atom. Number 2: E_tot -8.154 eV/atom. Number 3: E_tot -4.834 eV/atom.